# 1
# AlV4Cu3O12, optimized geometry, DFT GGA+U
data_AlV4Cu3O12
_symmetry_space_group_name_H-M 'I m -3'
_symmetry_Int_Tables_number 204
_symmetry_space_group_name_Hall '-I 2 2 3'
_cell_length_a 7.351
_cell_length_b 7.351
_cell_length_c 7.351
_cell_angle_alpha 90.00
_cell_angle_beta 90.00
_cell_angle_gamma 90.00
loop_
_atom_site_label
_atom_site_fract_x
_atom_site_fract_y
_atom_site_fract_z
_atom_site_occupancy
Al1 0.000 0.000 0.000 1
V1 0.250 0.250 0.250 1
Cu1 0.000 0.000 0.500 1
O1 0.000 0.175 0.295 1
# Crystal system: cubic
# Electronic total energy in eV/atom: -6.691

=====

# 2
# AlCuW2O, optimized geometry, DFT GGA+U
data_AlCuW2O
_symmetry_space_group_name_H-M 'P 4/m m m'
_symmetry_Int_Tables_number 123
_symmetry_space_group_name_Hall '-P 4 2'
_cell_length_a 5.036
_cell_length_b 5.036
_cell_length_c 3.323
_cell_angle_alpha 90.00
_cell_angle_beta 90.00
_cell_angle_gamma 90.00
loop_
_atom_site_label
_atom_site_fract_x
_atom_site_fract_y
_atom_site_fract_z
_atom_site_occupancy
Al1 0.000 0.000 0.000 1
Cu1 0.500 0.500 0.500 1
W1 0.000 0.500 0.000 1
O1 0.000 0.000 0.500 1
# Crystal system: tetragonal
# Electronic total energy in eV/atom: -4.225

=====

Size of the total moment per entry: 3.862 1.972 μB/cell
N(E_F) per entry: 0.442 0.431 states/eV/atom